# BeReRu2 SCAN PBEsol geometry
data_BeReRu2
_chemical_formula_sum 'Be2 Re2 Ru4'
_cell_length_a 5.207
_cell_length_b 8.215
_cell_length_c 2.655
_cell_angle_alpha 90.00
_cell_angle_beta 114.31
_cell_angle_gamma 90.00
_space_group_name_H-M_alt 'C 1 2/m 1'
_space_group_IT_number 12
_space_group_name_Hall '-C 2y'
loop_
_atom_site_label
_atom_site_type_symbol
_atom_site_fract_x
_atom_site_fract_y
_atom_site_fract_z
Be1 Be 0.000 0.000 0.000
Re1 Re 0.000 0.500 0.000
Ru1 Ru 0.250 0.250 0.500
# excess energy over the best structure of this formula in the dataset = 408 meV/atom
# crystal system = monoclinic
# formation enthalpy at 0 K = 173 meV per atom


# Be2ReRu SCAN PBEsol geometry
data_Be2ReRu
_chemical_formula_sum 'Be4 Re2 Ru2'
_cell_length_a 5.084
_cell_length_b 7.352
_cell_length_c 2.597
_cell_angle_alpha 90.00
_cell_angle_beta 108.46
_cell_angle_gamma 90.00
_space_group_name_H-M_alt 'C 1 2/m 1'
_space_group_IT_number 12
_space_group_name_Hall '-C 2y'
loop_
_atom_site_label
_atom_site_type_symbol
_atom_site_fract_x
_atom_site_fract_y
_atom_site_fract_z
Be1 Be 0.250 0.250 0.000
Re1 Re 0.000 0.000 0.500
Ru1 Ru 0.000 0.500 0.500
# excess energy over the best structure of this formula in the dataset = 0 meV/atom
# crystal system = monoclinic
# formation enthalpy at 0 K = -7 meV per atom


What is the formula in the first record? BeReRu2


What is the excess energy over the best structure of this formula in the dataset in the second record? 0 meV/atom


Copy entry 1 word for word.
# BeReRu2 SCAN PBEsol geometry
data_BeReRu2
_chemical_formula_sum 'Be2 Re2 Ru4'
_cell_length_a 5.207
_cell_length_b 8.215
_cell_length_c 2.655
_cell_angle_alpha 90.00
_cell_angle_beta 114.31
_cell_angle_gamma 90.00
_space_group_name_H-M_alt 'C 1 2/m 1'
_space_group_IT_number 12
_space_group_name_Hall '-C 2y'
loop_
_atom_site_label
_atom_site_type_symbol
_atom_site_fract_x
_atom_site_fract_y
_atom_site_fract_z
Be1 Be 0.000 0.000 0.000
Re1 Re 0.000 0.500 0.000
Ru1 Ru 0.250 0.250 0.500
# excess energy over the best structure of this formula in the dataset = 408 meV/atom
# crystal system = monoclinic
# formation enthalpy at 0 K = 173 meV per atom


excess energy over the best structure of this formula in the dataset of number 1 (BeReRu2)? 408 meV/atom